Computed, not measured: a crystal of LaNb2SnTe relaxed with PBEsol at the SCAN level of DFT.

POSCAR file:
```
LaNb2SnTe
1.0
5.099 0.000 0.000
0.000 5.099 0.000
0.000 0.000 5.674
La Nb Sn Te
1 2 1 1
direct
0.000 0.000 0.000
0.000 0.500 0.500
0.500 0.000 0.500
0.500 0.500 0.500
0.500 0.500 0.000
```

Computed properties:
DOS(E_F) (states/eV/f.u.): 5.75
Final energy (eV for the cell shown): -177.9
Formation energy (no corrections) (eV/atom): 0.93
Size of the total moment (μB per atom): 0.001

---

Computed, not measured: a crystal of Li2MnRh relaxed with PBEsol at the SCAN level of DFT.

POSCAR file:
```
Li2MnRh
1.0
-1.784 1.784 4.183
1.784 -1.784 4.183
1.784 1.784 -4.183
Li Mn Rh
2 1 1
direct
0.250 0.750 0.500
0.750 0.250 0.500
0.000 0.000 0.000
0.500 0.500 0.000
```

Computed properties:
Energy above the most stable polymorph in this dataset (eV/atom): 0.0313
DOS(E_F) (states/eV/f.u.): 1.52
Formation energy from the elements (meV/atom): -195
Final energy (eV for the cell shown): -57.6
Size of the total moment (μB per atom): 1.053

---

Computed, not measured: a crystal of LaYI2 relaxed with PBEsol at the SCAN level of DFT.

POSCAR file:
```
LaYI2
1.0
-3.570 3.570 6.626
3.570 -3.570 6.626
3.570 3.570 -6.626
La Y I
2 2 4
direct
0.000 0.000 0.000
0.750 0.250 0.500
0.250 0.750 0.500
0.500 0.500 0.000
0.146 0.625 0.021
0.375 0.396 0.521
0.604 0.125 0.979
0.875 0.854 0.479
```

Computed properties:
DOS(E_F) (states/eV/f.u.): 5.20
Final energy (eV for the cell shown): -291.8
Formation energy (no corrections) (eV/atom): -0.37
Size of the total moment (μB per atom): 0.168

---

Computed, not measured: a crystal of BaGe2PbO relaxed with PBEsol at the SCAN level of DFT.

POSCAR file:
```
BaGe2PbO
1.0
4.759 0.000 0.000
0.000 4.759 0.000
0.000 0.000 4.955
Ba Ge Pb O
1 2 1 1
direct
0.000 0.000 0.000
0.000 0.500 0.500
0.500 0.000 0.500
0.500 0.500 0.000
0.500 0.500 0.500
```

Computed properties:
DOS(E_F) (states/eV/f.u.): 2.13
Final energy (eV for the cell shown): -160.9
Formation energy (no corrections) (eV/atom): -0.22
Size of the total moment (μB per atom): 0.000

---

Computed, not measured: a crystal of RbBe2P2 relaxed with PBEsol at the SCAN level of DFT.

POSCAR file:
```
RbBe2P2
1.0
-1.738 1.738 7.394
1.738 -1.738 7.394
1.738 1.738 -7.394
Rb Be P
1 2 2
direct
0.000 0.000 0.000
0.250 0.750 0.500
0.750 0.250 0.500
0.342 0.342 0.000
0.658 0.658 0.000
```

Computed properties:
DOS(E_F) (states/eV/f.u.): 1.42
Formation energy from the elements (meV/atom): -439
Final energy (eV for the cell shown): -52.4
Size of the total moment (μB per atom): 0.000

---

Computed, not measured: a crystal of CdSb2Pt relaxed with PBEsol at the SCAN level of DFT.

POSCAR file:
```
CdSb2Pt
1.0
4.527 0.000 0.000
0.000 4.527 0.000
0.000 0.000 4.131
Cd Sb Pt
1 2 1
direct
0.000 0.000 0.000
0.000 0.500 0.500
0.500 0.000 0.500
0.500 0.500 0.000
```

Computed properties:
DOS(E_F) (states/eV/f.u.): 1.55
Final energy (eV for the cell shown): -174.6
Formation energy (no corrections) (eV/atom): 0.14
Size of the total moment (μB per atom): 0.000